{"formula": "Ta2ZnOsCl", "functional": "GGA-PBE", "state": "optimized geometry", "raw_formation_energy_mev_per_atom": 1078, "space_group": "P4/mmm (123)", "magnetic_moment_mub_per_atom": 0.000, "cell": [[4.4682, 0.0000, 0.0000], [0.0000, 4.4682, 0.0000], [0.0000, 0.0000, 4.4170]], "species": ["Ta", "Ta", "Zn", "Os", "Cl"], "fractional_positions": [[0.0000, 0.5000, 0.0000], [0.5000, 0.0000, 0.0000], [0.0000, 0.0000, 0.5000], [0.5000, 0.5000, 0.5000], [0.5000, 0.5000, 0.0000]]}